# PBE AlPt3O, optimized geometry
# - Crystal system: cubic
# - Polymorph energy (0 for the lowest one): 0.000 eV per atom
# - DOS at the Fermi energy: 0.714 states/eV per atom
# - Final energy: -25.26 eV for the cell shown
data_AlPt3O
_cell_length_a 4.2648
_cell_length_b 4.2648
_cell_length_c 4.2648
_cell_angle_alpha 90.00
_cell_angle_beta 90.00
_cell_angle_gamma 90.00
_space_group_name_H-M_alt 'P m -3 m'
_space_group_IT_number 221
_space_group_name_Hall '-P 4 2 3'
loop_
_atom_site_label
_atom_site_fract_x
_atom_site_fract_y
_atom_site_fract_z
_atom_site_occupancy
Al1 0.0000 0.0000 0.0000 1
Pt1 0.0000 0.5000 0.5000 1
O1 0.5000 0.5000 0.5000 1